Entry 1:
Density functional theory data (GGA-PBE) for an optimized crystal structure of PmSmGd2.

## Properties
Crystal system   tetragonal
Total magnetization   3.616 μB per atom
Formation energy   0.021 eV per atom
E above lowest polymorph   0.002 eV per atom
Theoretical density   7.6 g/cm3
DOS(E_F)   7.200 states/eV/cell

CIF file:
```
data_PmSmGd2
_chemical_formula_sum 'Pm1 Sm1 Gd2'
_space_group_name_H-M_alt 'P 4/m m m'
_space_group_IT_number 123
_space_group_name_Hall '-P 4 2'
_cell_length_a 3.612
_cell_length_b 3.612
_cell_length_c 10.201
_cell_angle_alpha 90.00
_cell_angle_beta 90.00
_cell_angle_gamma 90.00
loop_
_atom_site_label
_atom_site_fract_x
_atom_site_fract_y
_atom_site_fract_z
Pm1 0.000 0.000 0.000
Sm1 0.000 0.000 0.500
Gd1 0.500 0.500 0.251
```

***

Entry 2:
Density functional theory data (GGA-PBE) for an optimized crystal structure of PmSmGd2.

## Properties
Crystal system   trigonal
Total magnetization   3.891 μB per atom
Formation energy   0.159 eV per atom
E above lowest polymorph   0.141 eV per atom
Theoretical density   7.5 g/cm3
DOS(E_F)   15.181 states/eV/cell

CIF file:
```
data_PmSmGd2
_chemical_formula_sum 'Pm3 Sm3 Gd6'
_space_group_name_H-M_alt 'R -3 m'
_space_group_IT_number 166
_space_group_name_Hall '-R 3 2"'
_cell_length_a 3.5347
_cell_length_b 3.5347
_cell_length_c 37.5615
_cell_angle_alpha 90.00
_cell_angle_beta 90.00
_cell_angle_gamma 120.00
loop_
_atom_site_label
_atom_site_fract_x
_atom_site_fract_y
_atom_site_fract_z
Pm1 0.0000 0.0000 0.0000
Sm1 0.0000 0.0000 0.5000
Gd1 0.0000 0.0000 0.4106
```

***

Entry 3:
Density functional theory data (GGA-PBE) for an optimized crystal structure of TbPmSmGd.

## Properties
Crystal system   cubic
Total magnetization   2.270 μB per atom
Formation energy   0.122 eV per atom
Theoretical density   7.6 g/cm3
DOS(E_F)   28.364 states/eV/cell

CIF file:
```
data_TbPmSmGd
_chemical_formula_sum 'Tb4 Pm4 Sm4 Gd4'
_space_group_name_H-M_alt 'F -4 3 m'
_space_group_IT_number 216
_space_group_name_Hall 'F -4 2 3'
_cell_length_a 8.120
_cell_length_b 8.120
_cell_length_c 8.120
_cell_angle_alpha 90.00
_cell_angle_beta 90.00
_cell_angle_gamma 90.00
loop_
_atom_site_label
_atom_site_fract_x
_atom_site_fract_y
_atom_site_fract_z
Tb1 0.000 0.000 0.000
Pm1 0.000 0.000 0.500
Sm1 0.250 0.250 0.750
Gd1 0.250 0.250 0.250
```

***

Entry 4:
Density functional theory data (GGA-PBE) for an optimized crystal structure of PmSmGdTh.

## Properties
Crystal system   cubic
Total magnetization   1.962 μB per atom
Formation energy   0.173 eV per atom
Theoretical density   8.5 g/cm3
DOS(E_F)   39.301 states/eV/cell

CIF file:
```
data_PmSmGdTh
_chemical_formula_sum 'Pm4 Sm4 Gd4 Th4'
_space_group_name_H-M_alt 'F -4 3 m'
_space_group_IT_number 216
_space_group_name_Hall 'F -4 2 3'
_cell_length_a 8.103
_cell_length_b 8.103
_cell_length_c 8.103
_cell_angle_alpha 90.00
_cell_angle_beta 90.00
_cell_angle_gamma 90.00
loop_
_atom_site_label
_atom_site_fract_x
_atom_site_fract_y
_atom_site_fract_z
Pm1 0.000 0.000 0.000
Sm1 0.250 0.250 0.750
Gd1 0.000 0.000 0.500
Th1 0.250 0.250 0.250
```

***

Entry 5:
Density functional theory data (GGA-PBE) for an optimized crystal structure of PmSmGdTm.

## Properties
Crystal system   cubic
Total magnetization   2.237 μB per atom
Formation energy   0.122 eV per atom
Theoretical density   7.8 g/cm3
DOS(E_F)   29.801 states/eV/cell

CIF file:
```
data_PmSmGdTm
_chemical_formula_sum 'Pm4 Sm4 Gd4 Tm4'
_space_group_name_H-M_alt 'F -4 3 m'
_space_group_IT_number 216
_space_group_name_Hall 'F -4 2 3'
_cell_length_a 8.083
_cell_length_b 8.083
_cell_length_c 8.083
_cell_angle_alpha 90.00
_cell_angle_beta 90.00
_cell_angle_gamma 90.00
loop_
_atom_site_label
_atom_site_fract_x
_atom_site_fract_y
_atom_site_fract_z
Pm1 0.000 0.000 0.000
Sm1 0.250 0.250 0.750
Gd1 0.250 0.250 0.250
Tm1 0.000 0.000 0.500
```

***

Entry 6:
Density functional theory data (GGA-PBE) for an optimized crystal structure of PmSmGdY.

## Properties
Crystal system   cubic
Total magnetization   2.127 μB per atom
Formation energy   0.114 eV per atom
Theoretical density   6.7 g/cm3
DOS(E_F)   34.256 states/eV/cell

CIF file:
```
data_PmSmGdY
_chemical_formula_sum 'Pm4 Sm4 Gd4 Y4'
_space_group_name_H-M_alt 'F -4 3 m'
_space_group_IT_number 216
_space_group_name_Hall 'F -4 2 3'
_cell_length_a 8.127
_cell_length_b 8.127
_cell_length_c 8.127
_cell_angle_alpha 90.00
_cell_angle_beta 90.00
_cell_angle_gamma 90.00
loop_
_atom_site_label
_atom_site_fract_x
_atom_site_fract_y
_atom_site_fract_z
Pm1 0.000 0.000 0.000
Sm1 0.000 0.000 0.500
Gd1 0.250 0.250 0.250
Y1 0.250 0.250 0.750
```

***

Entry 7:
Density functional theory data (GGA-PBE) for an optimized crystal structure of PmSmGdZn.

## Properties
Crystal system   cubic
Total magnetization   1.955 μB per atom
Formation energy   0.061 eV per atom
Theoretical density   7.6 g/cm3
DOS(E_F)   21.023 states/eV/cell

CIF file:
```
data_PmSmGdZn
_chemical_formula_sum 'Pm4 Sm4 Gd4 Zn4'
_space_group_name_H-M_alt 'F -4 3 m'
_space_group_IT_number 216
_space_group_name_Hall 'F -4 2 3'
_cell_length_a 7.671
_cell_length_b 7.671
_cell_length_c 7.671
_cell_angle_alpha 90.00
_cell_angle_beta 90.00
_cell_angle_gamma 90.00
loop_
_atom_site_label
_atom_site_fract_x
_atom_site_fract_y
_atom_site_fract_z
Pm1 0.000 0.000 0.000
Sm1 0.250 0.250 0.750
Gd1 0.250 0.250 0.250
Zn1 0.000 0.000 0.500
```

***

Entry 8:
Density functional theory data (GGA-PBE) for an optimized crystal structure of PmGd2Sn.

## Properties
Crystal system   tetragonal
Total magnetization   3.730 μB per atom
Formation energy   -0.453 eV per atom
E above lowest polymorph   0.000 eV per atom
Theoretical density   8.3 g/cm3
DOS(E_F)   4.861 states/eV/cell

CIF file:
```
data_PmGd2Sn
_chemical_formula_sum 'Pm1 Gd2 Sn1'
_space_group_name_H-M_alt 'P 4/m m m'
_space_group_IT_number 123
_space_group_name_Hall '-P 4 2'
_cell_length_a 4.873
_cell_length_b 4.873
_cell_length_c 4.875
_cell_angle_alpha 90.00
_cell_angle_beta 90.00
_cell_angle_gamma 90.00
loop_
_atom_site_label
_atom_site_fract_x
_atom_site_fract_y
_atom_site_fract_z
Pm1 0.000 0.000 0.000
Gd1 0.000 0.500 0.500
Sn1 0.500 0.500 0.000
```